1.
Material: Y3Zr
Method: DFT, PBEsol
State: optimized geometry

Energy of formation (eV per atom): 0.10

a = 4.8047 Å, b = 4.8047 Å, c = 4.8047 Å
α = 90.00°, β = 90.00°, γ = 90.00°
Closest atoms and distances in Å follow each position.
Fractional coordinates of all 4 atoms:
Y1 0.0000 0.0000 0.5000  4 Zr 3.40, 8 Y 3.40
Y2 0.0000 0.5000 0.0000  4 Zr 3.40, 8 Y 3.40
Y3 0.5000 0.0000 0.0000  4 Zr 3.40, 8 Y 3.40
Zr1 0.5000 0.5000 0.5000  12 Y 3.40



2.
Material: CrReAu2
Method: DFT, PBEsol
State: optimized geometry

Energy of formation (eV per atom): 0.40

a = 4.7712 Å, b = 4.7712 Å, c = 4.8754 Å
α = 100.21°, β = 100.21°, γ = 33.90°
Closest atoms and distances in Å follow each position.
Fractional coordinates of all 4 atoms:
Cr1 0.0000 0.0000 0.0000  3 Re 2.61-2.81, 7 Au 2.72-2.89, 2 Cr 2.78
Re1 0.2650 0.2650 0.7857  3 Cr 2.61-2.81, 7 Au 2.75-2.87, 2 Re 2.78
Au1 0.5098 0.5098 0.5235  4 Cr 2.72-2.89, 5 Au 2.72-2.83, 3 Re 2.77-2.81
Au2 0.7508 0.7508 0.2670  5 Au 2.72-2.83, 4 Re 2.75-2.87, 3 Cr 2.79-2.82



3.
Material: ReSn3Cl
Method: DFT, PBEsol
State: optimized geometry

Formation energy without anion corrections (eV per formula unit): 7.2

a = 5.0849 Å, b = 5.0849 Å, c = 5.0849 Å
α = 90.00°, β = 90.00°, γ = 90.00°
Closest atoms and distances in Å follow each position.
Fractional coordinates of all 5 atoms:
Re1 0.0000 0.0000 0.0000  12 Sn 3.60
Sn1 0.0000 0.5000 0.5000  2 Cl 2.54
Sn2 0.5000 0.0000 0.5000  2 Cl 2.54
Sn3 0.5000 0.5000 0.0000  2 Cl 2.54
Cl1 0.5000 0.5000 0.5000  6 Sn 2.54



4.
Material: Cd2P
Method: DFT, PBEsol
State: optimized geometry

Energy of formation (eV per atom): 0.32

a = 4.6631 Å, b = 4.6631 Å, c = 3.1437 Å
α = 90.00°, β = 90.00°, γ = 120.00°
Closest atoms and distances in Å follow each position.
Fractional coordinates of all 3 atoms:
Cd1 0.3333 0.6667 0.2442  3 P 2.81, 8 Cd 3.10-3.14
Cd2 0.6667 0.3333 0.7558  3 P 2.81, 8 Cd 3.10-3.14
P1 0.0000 0.0000 0.5000  6 Cd 2.81, 2 P 3.14



5.
Material: InRu3
Method: DFT, PBEsol
State: optimized geometry

Energy of formation (eV per atom): 0.24

a = 5.2269 Å, b = 5.2269 Å, c = 5.2269 Å
α = 148.94°, β = 63.59°, γ = 126.02°
Closest atoms and distances in Å follow each position.
Fractional coordinates of all 4 atoms:
In1 0.0000 0.0000 0.0000  10 Ru 2.69-2.82, 2 In 2.80
Ru1 0.4031 0.6385 0.7646  9 Ru 2.62-2.87, 3 In 2.70-2.81
Ru2 0.4841 0.9841 0.5000  8 Ru 2.62-2.87, 4 In 2.69-2.82
Ru3 0.8738 0.6385 0.2354  9 Ru 2.62-2.87, 3 In 2.70-2.81



6.
Material: YScBe
Method: DFT, PBEsol
State: optimized geometry

Energy of formation (eV per atom): 0.30

a = 3.3647 Å, b = 3.3647 Å, c = 6.7496 Å
α = 90.00°, β = 90.00°, γ = 120.00°
Closest atoms and distances in Å follow each position.
Fractional coordinates of all 3 atoms:
Y1 0.0000 0.0000 0.0000  3 Be 2.80
Sc1 0.3333 0.6667 0.4337  3 Be 2.65
Be1 0.6667 0.3333 0.7018  3 Sc 2.65, 3 Y 2.80



7.
Material: YSiI2O
Method: DFT, PBEsol
State: optimized geometry

Formation energy without anion corrections (eV per formula unit): -3.7

a = 6.0194 Å, b = 6.0194 Å, c = 4.0907 Å
α = 90.00°, β = 90.00°, γ = 90.00°
Closest atoms and distances in Å follow each position.
Fractional coordinates of all 5 atoms:
Y1 0.0000 0.0000 0.0000  2 O 2.05
Si1 0.5000 0.5000 0.5000  8 I 3.64
I1 0.0000 0.5000 0.0000  2 Y 3.01
I2 0.5000 0.0000 0.0000  2 Y 3.01
O1 0.0000 0.0000 0.5000  2 Y 2.05



8.
Material: SmMgIn
Method: DFT, PBEsol
State: optimized geometry

Energy of formation (eV per atom): -0.45

a = 7.5449 Å, b = 7.5449 Å, c = 4.6718 Å
α = 90.00°, β = 90.00°, γ = 120.00°
Closest atoms and distances in Å follow each position.
Fractional coordinates of all 9 atoms:
Sm1 0.0000 0.4318 0.0000  5 In 3.23-3.26, 2 Mg 3.39
Sm2 0.4318 0.0000 0.0000  5 In 3.23-3.26, 2 Mg 3.39
Sm3 0.5682 0.5682 0.0000  5 In 3.23-3.26, 2 Mg 3.39
Mg1 0.0000 0.7580 0.5000  4 In 2.92-2.96, 2 Mg 3.16
Mg2 0.2420 0.2420 0.5000  4 In 2.92-2.96, 2 Mg 3.16
Mg3 0.7580 0.0000 0.5000  4 In 2.92-2.96, 2 Mg 3.16
In1 0.0000 0.0000 0.0000  6 Mg 2.96, 3 Sm 3.26
In2 0.3333 0.6667 0.5000  3 Mg 2.92, 6 Sm 3.23
In3 0.6667 0.3333 0.5000  3 Mg 2.92, 6 Sm 3.23



What magnetization values result from the calculations? In sequence: 0.000; 0.587; 0.622; 0.000; 0.000; 0.082; 0.130; 0.000 μB/atom.